Entry 1:
Entry from Alexandria via LeMat-Bulk: a relaxed HoTh2Sc2 crystal (PBE).

Calculated values
- Symmetry: No. 70

Unit cell a=11.825 b=10.906 c=6.117 alpha=82.87 beta=66.24 gamma=30.89
Positions (direct):
Ho: 0.125 0.125 0.125
Ho: 0.875 0.875 0.875
Th: 0.216 0.534 0.216
Th: 0.466 0.784 0.466
Th: 0.534 0.216 0.534
Th: 0.784 0.466 0.784
Sc: 0.000 0.000 0.000
Sc: 0.000 0.000 0.500
Sc: 0.000 0.500 0.000
Sc: 0.500 0.000 0.000

***

Entry 2:
Entry from Alexandria via LeMat-Bulk: a relaxed HoThSc2 crystal (PBE).

Calculated values
- Symmetry: No. 65

Unit cell a=6.968 b=9.108 c=3.496 alpha=90.00 beta=90.00 gamma=90.00
Positions (direct):
Ho: 0.000 0.000 0.000
Ho: 0.500 0.500 0.000
Th: 0.000 0.500 0.000
Th: 0.500 0.000 0.000
Sc: 0.250 0.250 0.500
Sc: 0.250 0.750 0.500
Sc: 0.750 0.250 0.500
Sc: 0.750 0.750 0.500

***

Entry 3:
Entry from Alexandria via LeMat-Bulk: a relaxed Ho4ThSc2 crystal (PBE).

Calculated values
- Symmetry: No. 11

Unit cell a=5.716 b=6.519 c=11.462 alpha=90.00 beta=104.52 gamma=90.00
Positions (direct):
Ho: 0.036 0.250 0.168
Ho: 0.183 0.750 0.423
Ho: 0.362 0.501 0.709
Ho: 0.362 0.999 0.709
Ho: 0.638 0.001 0.291
Ho: 0.638 0.499 0.291
Ho: 0.817 0.250 0.577
Ho: 0.964 0.750 0.832
Th: 0.158 0.750 0.124
Th: 0.842 0.250 0.876
Sc: 0.253 0.250 0.444
Sc: 0.408 0.250 0.999
Sc: 0.592 0.750 0.001
Sc: 0.747 0.750 0.556

***

Entry 4:
Entry from Alexandria via LeMat-Bulk: a relaxed HoThSc6 crystal (PBE).

Calculated values
- Symmetry: No. 187

Unit cell a=6.736 b=6.736 c=5.356 alpha=90.00 beta=90.00 gamma=120.00
Positions (direct):
Ho: 0.000 0.000 0.000
Th: 0.667 0.333 0.500
Sc: 0.003 0.501 0.000
Sc: 0.170 0.341 0.500
Sc: 0.170 0.830 0.500
Sc: 0.499 0.501 0.000
Sc: 0.499 0.997 0.000
Sc: 0.659 0.830 0.500

***

Entry 5:
Entry from Alexandria via LeMat-Bulk: a relaxed Ho4ThSc crystal (PBE).

Calculated values
- Symmetry: No. 12

Unit cell a=11.050 b=4.992 c=6.895 alpha=90.00 beta=107.96 gamma=90.00
Positions (direct):
Ho: 0.163 0.000 0.333
Ho: 0.164 0.000 0.832
Ho: 0.336 0.500 0.168
Ho: 0.337 0.500 0.667
Ho: 0.663 0.500 0.333
Ho: 0.664 0.500 0.832
Ho: 0.836 0.000 0.168
Ho: 0.837 0.000 0.667
Th: 0.000 0.500 0.500
Th: 0.500 0.000 0.500
Sc: 0.000 0.500 0.000
Sc: 0.500 0.000 0.000

***

Entry 6:
Entry from Alexandria via LeMat-Bulk: a relaxed HoThSc2 crystal (PBE).

Calculated values
- Symmetry: No. 123

Unit cell a=4.950 b=4.950 c=4.556 alpha=90.00 beta=90.00 gamma=90.00
Positions (direct):
Ho: 0.000 0.000 0.000
Th: 0.500 0.500 0.000
Sc: 0.000 0.500 0.500
Sc: 0.500 0.000 0.500

***

Entry 7:
Entry from Alexandria via LeMat-Bulk: a relaxed Ho2Th2Sc7 crystal (PBE).

Calculated values
- Symmetry: No. 12

Unit cell a=9.867 b=9.867 c=3.447 alpha=100.07 beta=100.07 gamma=67.34
Positions (direct):
Ho: 0.188 0.188 0.187
Ho: 0.812 0.812 0.813
Th: 0.263 0.737 0.000
Th: 0.737 0.263 0.000
Sc: 0.000 0.000 0.500
Sc: 0.094 0.564 0.329
Sc: 0.380 0.380 0.880
Sc: 0.436 0.906 0.671
Sc: 0.564 0.094 0.329
Sc: 0.620 0.620 0.120
Sc: 0.906 0.436 0.671

***

Entry 8:
Entry from Alexandria via LeMat-Bulk: a relaxed Ho3Th3Sc8 crystal (PBE).

Calculated values
- Symmetry: No. 71

Unit cell a=9.171 b=9.171 c=9.171 alpha=146.10 beta=112.15 gamma=78.05
Positions (direct):
Ho: 0.000 0.000 0.000
Ho: 0.303 0.000 0.303
Ho: 0.697 0.000 0.697
Th: 0.311 0.811 0.500
Th: 0.500 0.500 0.000
Th: 0.689 0.189 0.500
Sc: 0.056 0.397 0.659
Sc: 0.064 0.223 0.841
Sc: 0.261 0.603 0.659
Sc: 0.382 0.223 0.159
Sc: 0.618 0.777 0.841
Sc: 0.739 0.397 0.341
Sc: 0.936 0.777 0.159
Sc: 0.944 0.603 0.341

***

Number 1: spin magnetization 0.00 μB/f.u., formation energy from the elements 53.34 kJ/mol of atoms. Number 2: spin magnetization 0.00 μB/f.u., formation energy from the elements 1.66 kJ/mol of atoms. Number 3: spin magnetization 0.00 μB/f.u., formation energy from the elements 15.74 kJ/mol of atoms. Number 4: spin magnetization 0.01 μB/f.u., formation energy from the elements 2.60 kJ/mol of atoms. Number 5: spin magnetization 0.00 μB/f.u., formation energy from the elements 4.03 kJ/mol of atoms. Number 6: spin magnetization 0.00 μB/f.u., formation energy from the elements 3.38 kJ/mol of atoms. Number 7: spin magnetization 0.00 μB/f.u., formation energy from the elements 13.63 kJ/mol of atoms. Number 8: spin magnetization 0.00 μB/f.u., formation energy from the elements 12.28 kJ/mol of atoms.